The following is a PBE calculation of a relaxed PmHgPb2O4 crystal, from Alexandria.

Geometry as CIF:
```
data_PmHgPb2O4
_space_group_name_H-M_alt 'P 1'
_space_group_IT_number 1
_cell_length_a 4.078
_cell_length_b 4.078
_cell_length_c 9.791
_cell_angle_alpha 90.00
_cell_angle_beta 90.00
_cell_angle_gamma 90.00
loop_
_space_group_symop_operation_xyz
'x,y,z'
loop_
_atom_site_label
_atom_site_fract_x
_atom_site_fract_y
_atom_site_fract_z
Pm1 0.000 0.000 0.000
O1 0.500 0.000 0.141
O2 0.000 0.500 0.859
O3 0.000 0.500 0.141
O4 0.500 0.000 0.859
Hg1 0.000 0.000 0.500
Pb1 0.500 0.500 0.250
Pb2 0.500 0.500 0.750
```

- Magnetization: 0.0 Bohr magnetons per cell
- E_form (uncorrected): -1.588 eV per atom
- Energy: -5.63 eV per atom
- SG: No. 123

***

The following is a PBE calculation of a relaxed Ba3Li2In3 crystal, from Alexandria.

Geometry as CIF:
```
data_Ba3Li2In3
_space_group_name_H-M_alt 'P 1'
_space_group_IT_number 1
_cell_length_a 4.360
_cell_length_b 6.143
_cell_length_c 10.802
_cell_angle_alpha 81.52
_cell_angle_beta 78.40
_cell_angle_gamma 90.01
loop_
_space_group_symop_operation_xyz
'x,y,z'
loop_
_atom_site_label
_atom_site_fract_x
_atom_site_fract_y
_atom_site_fract_z
Ba1 0.141 0.570 0.719
Ba2 0.000 0.000 0.000
Ba3 0.859 0.430 0.281
In1 0.500 0.500 0.000
In2 0.358 0.928 0.284
In3 0.642 0.072 0.716
Li1 0.768 0.878 0.464
Li2 0.232 0.122 0.536
```

- Magnetization: 0.0 Bohr magnetons per cell
- ΔH_f (0 K): -284 meV per atom
- Energy: -2.51 eV per atom
- Energy above the lowest structure with this stoichiometry: 0.8 kJ per mole of atoms
- SG: No. 12

***

The following is a PBE calculation of a relaxed Pm3Tm3TlIn2 crystal, from Alexandria.

Geometry as CIF:
```
data_Pm3Tm3TlIn2
_space_group_name_H-M_alt 'P 1'
_space_group_IT_number 1
_cell_length_a 3.744
_cell_length_b 9.035
_cell_length_c 9.035
_cell_angle_alpha 120.00
_cell_angle_beta 90.00
_cell_angle_gamma 90.00
loop_
_space_group_symop_operation_xyz
'x,y,z'
loop_
_atom_site_label
_atom_site_fract_x
_atom_site_fract_y
_atom_site_fract_z
Pm1 0.500 0.000 0.710
Pm2 0.500 0.710 0.000
Pm3 0.500 0.290 0.290
Tm1 0.000 0.382 0.000
Tm2 0.000 0.000 0.382
Tm3 0.000 0.618 0.618
In1 0.500 0.667 0.333
In2 0.500 0.333 0.667
Tl1 0.000 0.000 0.000
```

- Magnetization: 0.5 Bohr magnetons per cell
- ΔH_f (0 K): -264 meV per atom
- Energy: -4.21 eV per atom
- SG: No. 189

***

The following is a PBE calculation of a relaxed RbScN2O crystal, from Alexandria.

Geometry as CIF:
```
data_RbScN2O
_space_group_name_H-M_alt 'P 1'
_space_group_IT_number 1
_cell_length_a 4.519
_cell_length_b 4.519
_cell_length_c 4.143
_cell_angle_alpha 90.00
_cell_angle_beta 90.00
_cell_angle_gamma 90.00
loop_
_space_group_symop_operation_xyz
'x,y,z'
loop_
_atom_site_label
_atom_site_fract_x
_atom_site_fract_y
_atom_site_fract_z
N1 0.000 0.500 0.000
N2 0.500 0.000 0.000
Rb1 0.500 0.500 0.500
Sc1 0.000 0.000 0.000
O1 0.000 0.000 0.500
```

- Magnetization: 4.0 Bohr magnetons per cell
- E_form (uncorrected): -0.201 eV per atom
- Energy: -5.98 eV per atom
- SG: No. 123

***

The following is a PBE calculation of a relaxed Pr6GaIr crystal, from Alexandria.

Geometry as CIF:
```
data_Pr6GaIr
_space_group_name_H-M_alt 'P 1'
_space_group_IT_number 1
_cell_length_a 7.002
_cell_length_b 7.008
_cell_length_c 7.798
_cell_angle_alpha 63.35
_cell_angle_beta 63.38
_cell_angle_gamma 60.04
loop_
_space_group_symop_operation_xyz
'x,y,z'
loop_
_atom_site_label
_atom_site_fract_x
_atom_site_fract_y
_atom_site_fract_z
Pr1 0.774 0.057 0.745
Pr2 0.422 0.775 0.745
Pr3 0.226 0.943 0.255
Pr4 0.943 0.577 0.255
Pr5 0.578 0.225 0.255
Pr6 0.057 0.423 0.745
Ga1 0.500 0.500 0.500
Ir1 0.000 0.000 0.000
```

- Magnetization: 0.0 Bohr magnetons per cell
- ΔH_f (0 K): -162 meV per atom
- Energy: -5.23 eV per atom
- SG: No. 2